Entry 1:
Compound: Ac2Pr2Ru
Source: Alexandria
Functional: PBE-GGA
Structure: relaxed

a = 5.145 Å, b = 5.145 Å, c = 13.684 Å
α = 100.84°, β = 100.84°, γ = 90.00°
Positions (direct):
Ac (0.813, 0.813, 0.625)
Ac (0.063, 0.563, 0.125)
Ac (0.437, 0.937, 0.875)
Ac (0.187, 0.187, 0.375)
Pr (0.930, 0.430, 0.860)
Pr (0.680, 0.680, 0.360)
Pr (0.320, 0.320, 0.640)
Pr (0.570, 0.070, 0.140)
Ru (0.500, 0.500, 0.000)
Ru (0.750, 0.250, 0.500)

Properties
DOS(E_F), states/eV/cell: 11.01
Formation energy from the elements, kJ/mol of formula units: 12
Total magnetic moment, μB/atom: 0.000

Entry 2:
Compound: InPt2PbN
Source: Alexandria
Functional: PBE-GGA
Structure: relaxed

a = 4.213 Å, b = 5.311 Å, c = 4.213 Å
α = 90.00°, β = 90.00°, γ = 90.00°
Positions (direct):
Pb (0.500, 0.500, 0.500)
N (0.000, 0.000, 0.000)
Pt (0.000, 0.000, 0.500)
Pt (0.500, 0.000, 0.000)
In (0.000, 0.500, 0.000)

Properties
DOS(E_F), states/eV/cell: 2.03
Formation energy (no corrections), eV per formula unit: 2.4
Total magnetic moment, μB/atom: 0.000

Entry 3:
Compound: Ce2HoEr
Source: Alexandria
Functional: PBE-GGA
Structure: relaxed

a = 5.606 Å, b = 5.606 Å, c = 5.606 Å
α = 60.00°, β = 60.00°, γ = 60.00°
Last column: magnetic moment on the atom in μB.
Positions (direct):
Ho (0.000, 0.000, 0.000)  0.06
Ce (0.250, 0.250, 0.250)  0.64
Ce (0.750, 0.750, 0.750)  0.64
Er (0.500, 0.500, 0.500)  0.04

Properties
DOS(E_F), states/eV/cell: 14.27
Formation energy from the elements, kJ/mol of formula units: 83
Total magnetic moment, μB/atom: 0.411